The following is a GGA-PBE calculation of an optimized crystal structure of Li3Nd2DyTe6, from Alexandria.

Geometry as POSCAR:
```
Li3Nd2DyTe6
1.0
3.829 -6.634 0.000
3.829 6.634 0.000
-2.554 0.000 7.087
Li Nd Dy Te
3 2 1 6
Cartesian
0.000 0.000 0.000 Li
3.829 2.223 0.000 Li
3.829 -2.223 0.000 Li
2.552 4.423 3.544 Nd
2.552 -4.423 3.544 Nd
2.552 0.000 3.544 Dy
1.305 2.161 1.700 Te
0.059 0.000 5.379 Te
1.305 -2.161 1.700 Te
3.800 2.161 5.388 Te
5.046 0.000 1.708 Te
3.800 -2.161 5.388 Te
```

Results
The space-group type is No. 12. The calculation puts the calculated density at 5.71 g/cm³. The value obtained for the uncorrected formation energy is -1.2941 eV per atom.